Entry 1:
The following is a PBE calculation of a geometry-optimized TlSnAu structure, from the Alexandria database.

Lattice parameters (Å, degrees): 4.7512 6.2266 6.2699 79.74 68.05 68.37
Fractional positions:
1 Tl 0.0000 0.0000 0.0000
2 Tl 0.4959 0.3523 0.6480
3 Sn 0.3157 0.9470 0.4170
4 Sn 0.6822 0.5830 0.0520
5 Au 0.1779 0.4019 0.2381
6 Au 0.8195 0.7565 0.5961

- Space-group type: P1
- E_form: -0.08 eV per atom
- Total energy: -9.876 eV/f.u.
- D(E_F): 2.54 states/eV/cell


Entry 2:
The following is a PBE calculation of a geometry-optimized BaLi2Mn structure, from the Alexandria database.

Lattice parameters (Å, degrees): 3.7979 3.7149 7.7231 90.00 90.07 90.00
Fractional positions:
1 Ba 0.0000 0.0000 0.0000
2 Li 0.4990 0.5000 0.3471
3 Li 0.9985 0.0000 0.5369
4 Mn 0.4995 0.5000 0.7080

- Energy relative to the lowest polymorph listed for this composition: 0.025 eV per atom
- Space-group type: Pm
- E_form: 0.39 eV per atom
- Total energy: -13.367 eV/f.u.
- D(E_F): 4.32 states/eV/cell


Entry 3:
The following is a PBE calculation of a geometry-optimized BeRhF structure, from the Alexandria database.

Lattice parameters (Å, degrees): 2.5909 7.6419 5.0572 90.00 120.83 90.00
Fractional positions:
1 Be 0.0000 0.2422 0.0000
2 Be 0.0000 0.7578 0.5000
3 Rh 0.9549 0.0430 0.4517
4 Rh 0.9549 0.9570 0.9517
5 F 0.4840 0.3590 0.9836
6 F 0.4840 0.6410 0.4836

- Energy relative to the lowest polymorph listed for this composition: 0.051 eV per atom
- E_form (uncorrected): -135 kJ/mol of atoms
- Space-group type: Pc
- Total energy: -17.135 eV/f.u.
- D(E_F): 2.98 states/eV/cell


Entry 4:
The following is a PBE calculation of a geometry-optimized HfTl2Bi structure, from the Alexandria database.

Lattice parameters (Å, degrees): 5.3738 5.3738 5.3738 60.00 60.00 60.00
Fractional positions:
1 Hf 0.0000 0.0000 0.0000
2 Tl 0.2500 0.2500 0.2500
3 Tl 0.7500 0.7500 0.7500
4 Bi 0.5000 0.5000 0.5000

- Energy relative to the lowest polymorph listed for this composition: 0.110 eV per atom
- Space-group type: Fm-3m
- E_form: 0.45 eV per atom
- Total energy: -16.752 eV/f.u.
- D(E_F): 8.27 states/eV/cell


Entry 5:
The following is a PBE calculation of a geometry-optimized Ce5ThTc2 structure, from the Alexandria database.

Lattice parameters (Å, degrees): 6.5936 6.5936 5.5001 113.77 113.77 76.92
Fractional positions:
1 Ce 0.0000 0.0000 0.0000
2 Ce 0.0272 0.6525 0.3427
3 Ce 0.3475 0.9728 0.6573
4 Ce 0.6525 0.0272 0.3427
5 Ce 0.9728 0.3475 0.6573
6 Th 0.5000 0.5000 0.0000
7 Tc 0.2926 0.2926 0.2689
8 Tc 0.7074 0.7074 0.7311

- Space-group type: C2/m
- E_form: 0.07 eV per atom
- Total energy: -57.278 eV/f.u.
- D(E_F): 18.72 states/eV/cell


Entry 6:
The following is a PBE calculation of a geometry-optimized BeNiPd4 structure, from the Alexandria database.

Lattice parameters (Å, degrees): 2.7697 2.7697 10.4669 90.00 90.00 90.00
Fractional positions:
1 Be 0.0000 0.0000 0.0000
2 Ni 0.5000 0.5000 0.5000
3 Pd 0.0000 0.0000 0.3347
4 Pd 0.0000 0.0000 0.6653
5 Pd 0.5000 0.5000 0.1354
6 Pd 0.5000 0.5000 0.8646

- Space-group type: P4/mmm
- E_form: -0.24 eV per atom
- Total energy: -31.746 eV/f.u.
- D(E_F): 5.68 states/eV/cell


Entry 7:
The following is a PBE calculation of a geometry-optimized GeB3O structure, from the Alexandria database.

Lattice parameters (Å, degrees): 3.6574 3.6574 3.6574 90.00 90.00 90.00
Fractional positions:
1 Ge 0.0000 0.0000 0.0000
2 B 0.0000 0.5000 0.5000
3 B 0.5000 0.0000 0.5000
4 B 0.5000 0.5000 0.0000
5 O 0.5000 0.5000 0.5000

- Energy relative to the lowest polymorph listed for this composition: 0.000 eV per atom
- E_form (uncorrected): 161 kJ/mol of atoms
- Space-group type: Pm-3m
- Total energy: -21.288 eV/f.u.
- D(E_F): 2.29 states/eV/cell


Entry 8:
The following is a PBE calculation of a geometry-optimized Co2AuSe4 structure, from the Alexandria database.

Lattice parameters (Å, degrees): 12.3882 3.6019 12.1759 90.00 90.00 90.00
Fractional positions:
1 Co 0.0953 0.2500 0.0811
2 Co 0.1719 0.2500 0.7076
3 Co 0.3281 0.7500 0.2076
4 Co 0.4047 0.7500 0.5811
5 Co 0.5953 0.2500 0.4189
6 Co 0.6719 0.2500 0.7924
7 Co 0.8281 0.7500 0.2924
8 Co 0.9047 0.7500 0.9189
9 Au 0.1202 0.2500 0.4352
10 Au 0.3798 0.7500 0.9352
11 Au 0.6202 0.2500 0.0648
12 Au 0.8798 0.7500 0.5648
13 Se 0.0320 0.2500 0.8888
14 Se 0.0722 0.7500 0.6311
15 Se 0.2106 0.2500 0.2503
16 Se 0.2110 0.7500 0.0503
17 Se 0.2890 0.2500 0.5503
18 Se 0.2894 0.7500 0.7503
19 Se 0.4278 0.2500 0.1311
20 Se 0.4680 0.7500 0.3888
21 Se 0.5320 0.2500 0.6112
22 Se 0.5722 0.7500 0.8689
23 Se 0.7106 0.2500 0.2497
24 Se 0.7110 0.7500 0.4497
25 Se 0.7890 0.2500 0.9497
26 Se 0.7894 0.7500 0.7497
27 Se 0.9278 0.2500 0.3689
28 Se 0.9680 0.7500 0.1112

- E_form (uncorrected): -12 kJ/mol of atoms
- Space-group type: Pnma
- Total energy: -32.319 eV/f.u.
- D(E_F): 12.41 states/eV/cell


Entry 9:
The following is a PBE calculation of a geometry-optimized Ta2InAg structure, from the Alexandria database.

Lattice parameters (Å, degrees): 2.9208 4.7330 5.4719 90.00 94.40 90.00
Fractional positions:
1 Ta 0.0000 0.0000 0.0000
2 Ta 0.1796 0.5000 0.7304
3 In 0.5868 0.0000 0.5066
4 Ag 0.6026 0.5000 0.2229

- Space-group type: Pm
- E_form: 0.28 eV per atom
- Total energy: -28.173 eV/f.u.
- D(E_F): 2.98 states/eV/cell


Entry 10:
The following is a PBE calculation of a geometry-optimized RbTe2Mo structure, from the Alexandria database.

Lattice parameters (Å, degrees): 7.5761 7.5761 7.5761 115.93 115.93 97.20
Fractional positions:
1 Rb 0.0000 0.0000 0.0000
2 Rb 0.7500 0.2500 0.5000
3 Te 0.2364 0.6250 0.1114
4 Te 0.3750 0.4864 0.6114
5 Te 0.5136 0.1250 0.8886
6 Te 0.8750 0.7636 0.3886
7 Mo 0.2500 0.7500 0.5000
8 Mo 0.5000 0.5000 0.0000

- E_form (uncorrected): -10 kJ/mol of atoms
- Space-group type: I-42d
- Total energy: -18.486 eV/f.u.
- D(E_F): 6.85 states/eV/cell


Entry 11:
The following is a PBE calculation of a geometry-optimized ZrSc2Co2 structure, from the Alexandria database.

Lattice parameters (Å, degrees): 5.7951 5.7951 5.7951 44.58 44.58 44.58
Fractional positions:
1 Zr 0.0000 0.0000 0.0000
2 Sc 0.2178 0.2178 0.2178
3 Sc 0.7822 0.7822 0.7822
4 Co 0.3893 0.3893 0.3893
5 Co 0.6107 0.6107 0.6107

- Energy relative to the lowest polymorph listed for this composition: 0.062 eV per atom
- Space-group type: R-3m
- E_form: -0.20 eV per atom
- Total energy: -36.414 eV/f.u.
- D(E_F): 3.47 states/eV/cell


Entry 12:
The following is a PBE calculation of a geometry-optimized Al2SnAsW structure, from the Alexandria database.

Lattice parameters (Å, degrees): 5.0816 5.0816 5.2387 90.00 90.00 90.00
Fractional positions:
1 Al 0.0000 0.5000 0.0000
2 Al 0.5000 0.0000 0.0000
3 Sn 0.0000 0.0000 0.0000
4 As 0.5000 0.5000 0.5000
5 W 0.0000 0.0000 0.5000

- Space-group type: P4/mmm
- E_form: 1.65 eV per atom
- Total energy: -20.834 eV/f.u.
- D(E_F): 3.26 states/eV/cell